Record 1
The following is a PBE calculation of a relaxed Nd3Dy5Sc crystal, from Alexandria.

The structure belongs to space group C2/m (No. 12); the cell edges are 12.247, 11.161 and 11.582 Å and the angles 90.00°, 119.75° and 90.00°. The asymmetric unit holds Nd at (0.000, 0.000, 0.000), Nd at (0.000, 0.000, 0.500), Nd at (0.180, 0.500, 0.243), Nd at (0.219, 0.000, 0.344), Dy at (0.000, 0.284, 0.000), Dy at (0.006, 0.500, 0.371), Dy at (0.175, 0.254, 0.810), Dy at (0.180, 0.500, 0.959) and Sc at (0.063, 0.000, 0.787).

Its calculated formation energy is 560 meV per atom. The value obtained for the calculated density is 6.24 g/cm³.

***

Record 2
The following is a PBE calculation of a relaxed Nd2Dy6Sc crystal, from Alexandria.

The structure belongs to space group C2/c (No. 15); the cell edges are 16.336, 11.530 and 6.061 Å and the angles 90.00°, 96.87° and 90.00°. The asymmetric unit holds Nd at (0.171, 0.104, 0.062), Dy at (0.049, 0.142, 0.511), Dy at (0.108, 0.366, 0.828), Dy at (0.204, 0.363, 0.364) and Sc at (0.000, 0.397, 0.250).

Its calculated formation energy is 100 meV per atom. The value obtained for the calculated density is 7.67 g/cm³. Its energy above the most stable polymorph in this dataset is 0 meV/atom.

***

Record 3
The following is a PBE calculation of a relaxed NdDy3Sc3 crystal, from Alexandria.

The structure belongs to space group R-3 (No. 148, hexagonal axes); the cell edges are 8.3461, 8.3461 and 21.0075 Å and the angles 90.00°, 90.00° and 120.00°. The asymmetric unit holds Nd at (0.0000, 0.0000, 0.1511), Dy at (0.0533, 0.4495, 0.3804) and Sc at (0.0057, 0.2245, 0.5572).

Its calculated formation energy is 185 meV per atom. The value obtained for the calculated density is 6.03 g/cm³. Its energy above the most stable polymorph in this dataset is 0 meV/atom.

***

Record 4
The following is a PBE calculation of a relaxed NdDySc crystal, from Alexandria.

The structure belongs to space group P3m1 (No. 156); the cell edges are 5.5341, 5.5341 and 3.4166 Å and the angles 90.00°, 90.00° and 120.00°. The asymmetric unit holds Nd at (0.0000, 0.0000, 0.0000), Dy at (0.3333, 0.6667, 0.4995) and Sc at (0.6667, 0.3333, 0.5010).

Its calculated formation energy is 84 meV per atom. The value obtained for the calculated density is 6.44 g/cm³. Its energy above the most stable polymorph in this dataset is 48 meV/atom.

***

Record 5
The following is a PBE calculation of a relaxed Nd2Dy8Sc crystal, from Alexandria.

The structure belongs to space group C2/m (No. 12); the cell edges are 16.444, 6.626 and 6.646 Å and the angles 90.00°, 101.78° and 90.00°. The asymmetric unit holds Nd at (0.190, 0.000, 0.303), Dy at (0.083, 0.260, 0.891), Dy at (0.091, 0.500, 0.412), Dy at (0.244, 0.000, 0.817) and Sc at (0.000, 0.000, 0.500).

Its calculated formation energy is 165 meV per atom. The value obtained for the calculated density is 7.65 g/cm³. Its energy above the most stable polymorph in this dataset is 134 meV/atom.

***

Record 6
The following is a PBE calculation of a relaxed Nd5Dy2Sc crystal, from Alexandria.

The structure belongs to space group Immm (No. 71); the cell edges are 3.579, 11.182 and 13.231 Å and the angles 90.00°, 90.00° and 90.00°. The asymmetric unit holds Nd at (0.000, 0.000, 0.000), Nd at (0.000, 0.228, 0.370), Dy at (0.000, 0.500, 0.255) and Sc at (0.000, 0.500, 0.000).

Its calculated formation energy is 54 meV per atom. The value obtained for the calculated density is 6.84 g/cm³.

***

Record 7
The following is a PBE calculation of a relaxed Nd2Dy3Sc4 crystal, from Alexandria.

The structure belongs to space group C2/c (No. 15); the cell edges are 16.121, 11.277 and 5.813 Å and the angles 90.00°, 97.69° and 90.00°. The asymmetric unit holds Nd at (0.124, 0.127, 0.300), Dy at (0.000, 0.130, 0.750), Dy at (0.159, 0.388, 0.611), Sc at (0.049, 0.378, 0.037) and Sc at (0.234, 0.137, 0.845).

Its calculated formation energy is 109 meV per atom. The value obtained for the calculated density is 6.06 g/cm³.

***

Record 8
The following is a PBE calculation of a relaxed Nd3Dy4Sc2 crystal, from Alexandria.

The structure belongs to space group C2/m (No. 12); the cell edges are 16.888, 3.506 and 9.627 Å and the angles 90.00°, 100.07° and 90.00°. The asymmetric unit holds Nd at (0.000, 0.000, 0.000), Nd at (0.158, 0.000, 0.590), Dy at (0.014, 0.500, 0.324), Dy at (0.175, 0.000, 0.227) and Sc at (0.168, 0.500, 0.923).

Its calculated formation energy is 42 meV per atom. The value obtained for the calculated density is 6.94 g/cm³. Its energy above the most stable polymorph in this dataset is 0 meV/atom.

***

What are the density of states at the Fermi level values for these records? In order: 12.3; 13.0; 12.3; 4.6; 16.6; 12.5; 14.8; 12.6 states/eV/f.u..